w) 8
Lattice="-5.281 2.754 -2.701 5.180 -1.472 -3.711 -1.312 -3.104 -0.600" Properties=species:S:1:pos:R:3 comment="YO3 PBE optimized geometry" space_group="P6_3/m (176)" m_tot_mub_per_cell=6.000 pbc="T T T"
Y 0.709 -2.391 -3.824
Y -2.122 0.570 -3.188
O -2.981 -0.578 -5.136
O 1.569 -1.244 -1.876
O -4.032 -0.669 -2.370
O 2.619 -1.153 -4.643
O -1.320 -1.701 -2.958
O -0.092 -0.121 -4.054

---

x) 16
Lattice="-4.180 -0.114 -0.837 -1.249 -0.538 6.309 -0.318 7.446 0.572" Properties=species:S:1:pos:R:3 comment="YO3 PBE optimized geometry" space_group="Pnma (62)" m_tot_mub_per_cell=12.003 pbc="T T T"
Y -3.244 1.446 3.786
Y -4.188 1.672 0.318
Y -2.502 5.347 2.258
Y -1.558 5.121 5.727
O -4.832 -0.206 4.652
O -3.100 3.110 1.976
O -0.786 3.987 1.161
O -2.775 6.697 4.299
O -0.914 7.000 1.392
O -2.646 3.684 4.068
O -4.961 2.807 4.883
O -2.971 0.097 1.745
O -1.899 1.808 -0.173
O -0.993 1.581 3.288
O -3.847 4.986 6.217
O -4.754 5.213 2.756

---

Name the most stable of them. x).